VASP calculation (PBE-GGA) on crystalline La3Nd3Zn2 at its relaxed geometry.

```
La3Nd3Zn2
1.0
5.2162 0.0000 0.0000
-2.6081 5.9608 0.0000
0.0000 0.0000 16.0032
La Nd Zn
6 6 4
direct
0.2880 0.5759 0.7500
0.9693 0.9386 0.3899
0.0307 0.0614 0.6101
0.0307 0.0614 0.8899
0.7120 0.4241 0.2500
0.9693 0.9386 0.1101
0.4418 0.8835 0.2500
0.6475 0.2951 0.0256
0.3525 0.7049 0.9744
0.5582 0.1165 0.7500
0.3525 0.7049 0.5256
0.6475 0.2951 0.4744
0.2350 0.4700 0.1385
0.7650 0.5300 0.8615
0.7650 0.5300 0.6385
0.2350 0.4700 0.3615
```

Properties
For the total DFT energy (no corrections), the calculation gives -64.6 eV for the cell shown. The total magnetization comes out at 0.000 μB/atom.

VASP calculation (PBE-GGA) on crystalline Sr2Zn12Cu3Pt at its relaxed geometry.

```
Sr2Zn12Cu3Pt
1.0
9.9346 2.0738 1.4709
6.7095 7.6144 1.4709
6.7095 3.9055 6.7000
Zn Cu Sr Pt
12 3 2 1
direct
0.9263 0.9263 0.3612
0.4126 0.8129 0.4126
0.6388 0.0737 0.0737
0.1871 0.5874 0.5874
0.9263 0.3612 0.9263
0.5874 0.1871 0.5874
0.0737 0.6388 0.0737
0.8129 0.4126 0.4126
0.3612 0.9263 0.9263
0.0737 0.0737 0.6388
0.5874 0.5874 0.1871
0.4126 0.4126 0.8129
0.5000 0.0000 0.0000
0.0000 0.5000 0.0000
0.0000 0.0000 0.5000
0.6480 0.6480 0.6480
0.3520 0.3520 0.3520
0.0000 0.0000 0.0000
```

Properties
For the total DFT energy (no corrections), the calculation gives -38.1 eV for the cell shown. The total magnetization comes out at 0.000 μB/atom.

Question: What is the formula in the second record?
Answer: Sr2Zn12Cu3Pt

Question: Look up the total DFT energy (no corrections) of the second one.
Answer: -38.1 eV for the cell shown

Question: The lowest total DFT energy (no corrections) belongs to which entry?
Answer: La3Nd3Zn2

Question: Number 1 is which compound?
Answer: La3Nd3Zn2